# 1
The following is a PBE-GGA calculation of crystalline Ca2LaIn at its relaxed geometry, from the Alexandria database.

Properties
* excess energy over the best structure of this formula in the dataset: 174.8 meV per atom
* energy of formation: -0.073 eV per atom

Cell and atoms, written as POSCAR:
```
Ca2LaIn
1.0
8.0570 0.0000 0.0000
0.0000 8.0570 0.0000
0.0000 0.0000 8.0570
Ca La In
8 4 4
Direct
0.2500 0.2500 0.2500
0.2500 0.2500 0.7500
0.2500 0.7500 0.2500
0.2500 0.7500 0.7500
0.7500 0.2500 0.2500
0.7500 0.2500 0.7500
0.7500 0.7500 0.2500
0.7500 0.7500 0.7500
0.0000 0.0000 0.0000
0.0000 0.5000 0.5000
0.5000 0.0000 0.5000
0.5000 0.5000 0.0000
0.0000 0.0000 0.5000
0.0000 0.5000 0.0000
0.5000 0.0000 0.0000
0.5000 0.5000 0.5000
```

# 2
The following is a PBE-GGA calculation of crystalline CaLa2In2 at its relaxed geometry, from the Alexandria database.

Properties
* excess energy over the best structure of this formula in the dataset: 104.5 meV per atom
* energy of formation: -0.310 eV per atom

Cell and atoms, written as POSCAR:
```
CaLa2In2
1.0
9.4661 0.0000 0.0000
0.0000 9.4661 0.0000
0.0000 0.0000 3.6528
Ca La In
2 4 4
Direct
0.0000 0.0000 0.0000
0.5000 0.5000 0.0000
0.1177 0.3823 0.0000
0.3823 0.8823 0.0000
0.6177 0.1177 0.0000
0.8823 0.6177 0.0000
0.1792 0.6792 0.5000
0.3208 0.1792 0.5000
0.6792 0.8208 0.5000
0.8208 0.3208 0.5000
```

# 3
The following is a PBE-GGA calculation of crystalline Ca2LaIn at its relaxed geometry, from the Alexandria database.

Properties
* excess energy over the best structure of this formula in the dataset: 54.5 meV per atom
* energy of formation: -0.193 eV per atom

Cell and atoms, written as POSCAR:
```
Ca2LaIn
1.0
3.6399 0.0000 0.0000
0.0000 3.6399 0.0000
0.0000 0.0000 10.2562
Ca La In
2 1 1
Direct
0.0000 0.0000 0.2082
0.0000 0.0000 0.7918
0.5000 0.5000 0.5000
0.5000 0.5000 0.0000
```

# 4
The following is a PBE-GGA calculation of crystalline Ca2LaIn at its relaxed geometry, from the Alexandria database.

Properties
* excess energy over the best structure of this formula in the dataset: 92.7 meV per atom
* energy of formation: -0.155 eV per atom

Cell and atoms, written as POSCAR:
```
Ca2LaIn
1.0
4.9849 0.0000 0.0000
0.0000 4.9849 0.0000
0.0000 0.0000 10.7641
Ca La In
4 2 2
Direct
0.0000 0.5000 0.2500
0.0000 0.5000 0.7500
0.5000 0.0000 0.2500
0.5000 0.0000 0.7500
0.0000 0.0000 0.0000
0.5000 0.5000 0.5000
0.0000 0.0000 0.5000
0.5000 0.5000 0.0000
```

# 5
The following is a PBE-GGA calculation of crystalline CaLaIn6 at its relaxed geometry, from the Alexandria database.

Properties
* energy of formation: -0.402 eV per atom

Cell and atoms, written as POSCAR:
```
CaLaIn6
1.0
4.7596 0.0000 0.0000
0.0000 4.7596 0.0000
0.0000 0.0000 9.4907
Ca La In
1 1 6
Direct
0.0000 0.0000 0.0000
0.0000 0.0000 0.5000
0.0000 0.5000 0.2451
0.0000 0.5000 0.7549
0.5000 0.0000 0.2451
0.5000 0.0000 0.7549
0.5000 0.5000 0.0000
0.5000 0.5000 0.5000
```

# 6
The following is a PBE-GGA calculation of crystalline CaLa3In12 at its relaxed geometry, from the Alexandria database.

Properties
* energy of formation: -0.440 eV per atom

Cell and atoms, written as POSCAR:
```
CaLa3In12
1.0
4.7815 0.0000 0.0000
0.0000 4.7815 0.0000
0.0000 0.0000 19.0139
Ca La In
1 3 12
Direct
0.0000 0.0000 0.0000
0.0000 0.0000 0.2476
0.0000 0.0000 0.5000
0.0000 0.0000 0.7524
0.0000 0.5000 0.1215
0.0000 0.5000 0.3740
0.0000 0.5000 0.6260
0.0000 0.5000 0.8785
0.5000 0.0000 0.1215
0.5000 0.0000 0.3740
0.5000 0.0000 0.6260
0.5000 0.0000 0.8785
0.5000 0.5000 0.0000
0.5000 0.5000 0.2507
0.5000 0.5000 0.5000
0.5000 0.5000 0.7493
```

# 7
The following is a PBE-GGA calculation of crystalline Ca2LaIn at its relaxed geometry, from the Alexandria database.

Properties
* excess energy over the best structure of this formula in the dataset: 22.7 meV per atom
* energy of formation: -0.225 eV per atom

Cell and atoms, written as POSCAR:
```
Ca2LaIn
1.0
3.8206 0.0000 0.0000
0.0000 3.8206 0.0000
0.0000 0.0000 9.7862
Ca La In
2 1 1
Direct
0.0000 0.0000 0.0000
0.5000 0.5000 0.2962
0.5000 0.5000 0.7037
0.0000 0.0000 0.4945
```

# 8
The following is a PBE-GGA calculation of crystalline Ca5LaIn3 at its relaxed geometry, from the Alexandria database.

Properties
* energy of formation: -0.341 eV per atom

Cell and atoms, written as POSCAR:
```
Ca5LaIn3
1.0
9.6282 0.0000 0.0000
-4.8141 8.3383 0.0000
0.0000 0.0000 7.2041
Ca La In
10 2 6
Direct
0.0000 0.3419 0.2500
0.0000 0.6581 0.7500
0.3333 0.6667 0.0000
0.3333 0.6667 0.5000
0.3419 0.0000 0.2500
0.3419 0.3419 0.7500
0.6581 0.0000 0.7500
0.6581 0.6581 0.2500
0.6667 0.3333 0.0000
0.6667 0.3333 0.5000
0.0000 0.0000 0.0000
0.0000 0.0000 0.5000
0.0000 0.3243 0.7500
0.0000 0.6757 0.2500
0.3243 0.0000 0.7500
0.3243 0.3243 0.2500
0.6757 0.0000 0.2500
0.6757 0.6757 0.7500
```

# 9
The following is a PBE-GGA calculation of crystalline Ca2LaIn at its relaxed geometry, from the Alexandria database.

Properties
* excess energy over the best structure of this formula in the dataset: 149.3 meV per atom
* energy of formation: -0.098 eV per atom

Cell and atoms, written as POSCAR:
```
Ca2LaIn
1.0
7.1565 0.0000 0.0000
0.0000 9.9845 0.0000
0.0000 0.0000 3.8128
Ca La In
4 2 2
Direct
0.2500 0.2500 0.0000
0.2500 0.7500 0.0000
0.7500 0.2500 0.0000
0.7500 0.7500 0.0000
0.0000 0.0000 0.5000
0.5000 0.5000 0.5000
0.0000 0.5000 0.5000
0.5000 0.0000 0.5000
```

# 10
The following is a PBE-GGA calculation of crystalline Ca3LaIn4 at its relaxed geometry, from the Alexandria database.

Properties
* energy of formation: -0.482 eV per atom

Cell and atoms, written as POSCAR:
```
Ca3LaIn4
1.0
2.7461 1.5855 9.0054
-2.7461 1.5855 9.0054
0.0000 -3.1710 9.0054
Ca La In
3 1 4
Direct
0.0000 0.0000 0.0000
0.2514 0.2514 0.2514
0.7486 0.7486 0.7486
0.5000 0.5000 0.5000
0.1241 0.1241 0.1241
0.3744 0.3744 0.3744
0.6256 0.6256 0.6256
0.8759 0.8759 0.8759
```

# 11
The following is a PBE-GGA calculation of crystalline Ca2LaIn at its relaxed geometry, from the Alexandria database.

Properties
* excess energy over the best structure of this formula in the dataset: 51.7 meV per atom
* energy of formation: -0.196 eV per atom

Cell and atoms, written as POSCAR:
```
Ca2LaIn
1.0
3.9852 0.0000 0.0000
0.0000 5.8144 0.0000
0.0000 0.0000 12.0146
Ca La In
4 2 2
Direct
0.0000 0.0000 0.2166
0.0000 0.0000 0.7834
0.5000 0.5000 0.2834
0.5000 0.5000 0.7166
0.0000 0.5000 0.0000
0.5000 0.0000 0.5000
0.0000 0.5000 0.5000
0.5000 0.0000 0.0000
```

# 12
The following is a PBE-GGA calculation of crystalline Ca4LaIn at its relaxed geometry, from the Alexandria database.

Properties
* energy of formation: 0.216 eV per atom

Cell and atoms, written as POSCAR:
```
Ca4LaIn
1.0
0.0000 4.8572 4.8572
4.8572 0.0000 4.8572
4.8572 4.8572 0.0000
Ca La In
4 1 1
Direct
0.1248 0.1248 0.1248
0.1248 0.1248 0.6256
0.1248 0.6256 0.1248
0.6256 0.1248 0.1248
0.5000 0.5000 0.5000
0.7500 0.7500 0.7500
```

# 13
The following is a PBE-GGA calculation of crystalline Li2CaLa2In5 at its relaxed geometry, from the Alexandria database.

Properties
* energy of formation: -0.450 eV per atom

Cell and atoms, written as POSCAR:
```
Li2CaLa2In5
1.0
10.5395 0.0000 0.0000
0.0000 10.5395 0.0000
0.0000 0.0000 4.5768
Li Ca La In
4 2 4 10
Direct
0.1140 0.3860 0.0000
0.3860 0.8860 0.0000
0.6140 0.1140 0.0000
0.8860 0.6140 0.0000
0.0000 0.0000 0.0000
0.5000 0.5000 0.0000
0.1793 0.6793 0.0000
0.3207 0.1793 0.0000
0.6793 0.8207 0.0000
0.8207 0.3207 0.0000
0.0000 0.5000 0.5000
0.0667 0.2150 0.5000
0.2150 0.9333 0.5000
0.2850 0.4333 0.5000
0.4333 0.7150 0.5000
0.5000 0.0000 0.5000
0.5667 0.2850 0.5000
0.7150 0.5667 0.5000
0.7850 0.0667 0.5000
0.9333 0.7850 0.5000
```

# 14
The following is a PBE-GGA calculation of crystalline LiCaLa2In4 at its relaxed geometry, from the Alexandria database.

Properties
* energy of formation: -0.438 eV per atom

Cell and atoms, written as POSCAR:
```
LiCaLa2In4
1.0
2.7143 1.5671 8.8950
-2.7143 1.5671 8.8950
0.0000 -3.1342 8.8950
Li Ca La In
1 1 2 4
Direct
0.0000 0.0000 0.0000
0.5000 0.5000 0.5000
0.2519 0.2519 0.2519
0.7481 0.7481 0.7481
0.1218 0.1218 0.1218
0.3733 0.3733 0.3733
0.6267 0.6267 0.6267
0.8782 0.8782 0.8782
```

# 15
The following is a PBE-GGA calculation of crystalline Li2Ca2LaIn2 at its relaxed geometry, from the Alexandria database.

Properties
* energy of formation: -0.278 eV per atom

Cell and atoms, written as POSCAR:
```
Li2Ca2LaIn2
1.0
2.5432 1.4683 9.0029
-2.5432 1.4683 9.0029
0.0000 -2.9367 9.0029
Li Ca La In
2 2 1 2
Direct
0.1038 0.1038 0.1038
0.8962 0.8962 0.8962
0.3714 0.3714 0.3714
0.6286 0.6286 0.6286
0.5000 0.5000 0.5000
0.2353 0.2353 0.2353
0.7647 0.7647 0.7647
```

# 16
The following is a PBE-GGA calculation of crystalline LiCaLaIn at its relaxed geometry, from the Alexandria database.

Properties
* energy of formation: -0.304 eV per atom

Cell and atoms, written as POSCAR:
```
LiCaLaIn
1.0
7.7892 0.0000 0.0000
0.0000 7.7892 0.0000
0.0000 0.0000 7.7892
Li Ca La In
4 4 4 4
Direct
0.0000 0.0000 0.0000
0.0000 0.5000 0.5000
0.5000 0.0000 0.5000
0.5000 0.5000 0.0000
0.2500 0.2500 0.2500
0.2500 0.7500 0.7500
0.7500 0.2500 0.7500
0.7500 0.7500 0.2500
0.2500 0.2500 0.7500
0.2500 0.7500 0.2500
0.7500 0.2500 0.2500
0.7500 0.7500 0.7500
0.0000 0.0000 0.5000
0.0000 0.5000 0.0000
0.5000 0.0000 0.0000
0.5000 0.5000 0.5000
```

# 17
The following is a PBE-GGA calculation of crystalline Li2CaLa2In2 at its relaxed geometry, from the Alexandria database.

Properties
* energy of formation: -0.265 eV per atom

Cell and atoms, written as POSCAR:
```
Li2CaLa2In2
1.0
2.4723 1.4274 9.1274
-2.4723 1.4274 9.1274
0.0000 -2.8547 9.1274
Li Ca La In
2 1 2 2
Direct
0.1075 0.1075 0.1075
0.8925 0.8925 0.8925
0.5000 0.5000 0.5000
0.3663 0.3663 0.3663
0.6337 0.6337 0.6337
0.2373 0.2373 0.2373
0.7627 0.7627 0.7627
```

# 18
The following is a PBE-GGA calculation of crystalline Ca2LaMg2In2 at its relaxed geometry, from the Alexandria database.

Properties
* energy of formation: -0.305 eV per atom

Cell and atoms, written as POSCAR:
```
Ca2LaMg2In2
1.0
2.5380 1.4653 9.4122
-2.5380 1.4653 9.4122
0.0000 -2.9307 9.4122
Ca La Mg In
2 1 2 2
Direct
0.1301 0.1301 0.1301
0.8699 0.8699 0.8699
0.0000 0.0000 0.0000
0.3988 0.3988 0.3988
0.6012 0.6012 0.6012
0.2615 0.2615 0.2615
0.7385 0.7385 0.7385
```

# 19
The following is a PBE-GGA calculation of crystalline CaLa12In4N3 at its relaxed geometry, from the Alexandria database.

Properties
* energy relative to the elements, uncorrected: -1001 kJ/mol of formula units

Cell and atoms, written as POSCAR:
```
CaLa12In4N3
1.0
-5.1980 5.1980 5.1980
5.1980 -5.1980 5.1980
5.1980 5.1980 -5.1980
Ca La In N
1 12 4 3
Direct
0.0000 0.0000 0.0000
0.0000 0.2714 0.2714
0.0000 0.7286 0.7286
0.2500 0.5000 0.7500
0.2500 0.7500 0.5000
0.2714 0.0000 0.2714
0.2714 0.2714 0.0000
0.5000 0.2500 0.7500
0.5000 0.7500 0.2500
0.7286 0.0000 0.7286
0.7286 0.7286 0.0000
0.7500 0.2500 0.5000
0.7500 0.5000 0.2500
0.0000 0.0000 0.5000
0.0000 0.5000 0.0000
0.5000 0.0000 0.0000
0.5000 0.5000 0.5000
0.0000 0.5000 0.5000
0.5000 0.0000 0.5000
0.5000 0.5000 0.0000
```

# 20
The following is a PBE-GGA calculation of crystalline Ca2LaInN at its relaxed geometry, from the Alexandria database.

Properties
* energy relative to the elements, uncorrected: -367 kJ/mol of formula units

Cell and atoms, written as POSCAR:
```
Ca2LaInN
1.0
5.0146 0.0000 0.0000
0.0000 5.0146 0.0000
0.0000 0.0000 5.0354
Ca La In N
2 1 1 1
Direct
0.0000 0.5000 0.0000
0.5000 0.0000 0.0000
0.0000 0.0000 0.5000
0.5000 0.5000 0.5000
0.0000 0.0000 0.0000
```

# 21
The following is a PBE-GGA calculation of crystalline CaLaIn2Ni at its relaxed geometry, from the Alexandria database.

Properties
* excess energy over the best structure of this formula in the dataset: 733.6 meV per atom
* energy of formation: 0.438 eV per atom

Cell and atoms, written as POSCAR:
```
CaLaIn2Ni
1.0
6.0845 0.0000 0.0000
0.0000 6.0845 0.0000
0.0000 0.0000 4.7472
Ca La In Ni
1 1 2 1
Direct
0.0000 0.0000 0.0000
0.5000 0.5000 0.5000
0.0000 0.5000 0.5000
0.5000 0.0000 0.5000
0.5000 0.5000 0.0000
```

# 22
The following is a PBE-GGA calculation of crystalline CaLa2InNi at its relaxed geometry, from the Alexandria database.

Properties
* excess energy over the best structure of this formula in the dataset: 0.0 meV per atom
* energy of formation: -0.242 eV per atom

Cell and atoms, written as POSCAR:
```
CaLa2InNi
1.0
5.3570 0.0000 0.0000
0.0000 5.3570 0.0000
0.0000 0.0000 5.4831
Ca La In Ni
1 2 1 1
Direct
0.0000 0.0000 0.0000
0.0000 0.5000 0.5000
0.5000 0.0000 0.5000
0.5000 0.5000 0.0000
0.0000 0.0000 0.5000
```

# 23
The following is a PBE-GGA calculation of crystalline CaLaInNi at its relaxed geometry, from the Alexandria database.

Properties
* energy of formation: -0.216 eV per atom

Cell and atoms, written as POSCAR:
```
CaLaInNi
1.0
7.4663 0.0000 0.0000
0.0000 7.4663 0.0000
0.0000 0.0000 7.4663
Ca La In Ni
4 4 4 4
Direct
0.0000 0.0000 0.0000
0.0000 0.5000 0.5000
0.5000 0.0000 0.5000
0.5000 0.5000 0.0000
0.0000 0.0000 0.5000
0.0000 0.5000 0.0000
0.5000 0.0000 0.0000
0.5000 0.5000 0.5000
0.2500 0.2500 0.7500
0.2500 0.7500 0.2500
0.7500 0.2500 0.2500
0.7500 0.7500 0.7500
0.2500 0.2500 0.2500
0.2500 0.7500 0.7500
0.7500 0.2500 0.7500
0.7500 0.7500 0.2500
```

# 24
The following is a PBE-GGA calculation of crystalline CaLaIn2Ni at its relaxed geometry, from the Alexandria database.

Properties
* excess energy over the best structure of this formula in the dataset: 0.0 meV per atom
* energy of formation: -0.295 eV per atom

Cell and atoms, written as POSCAR:
```
CaLaIn2Ni
1.0
5.2094 0.0000 0.0000
0.0000 5.2094 0.0000
0.0000 0.0000 5.0545
Ca La In Ni
1 1 2 1
Direct
0.0000 0.0000 0.0000
0.5000 0.5000 0.0000
0.0000 0.5000 0.5000
0.5000 0.0000 0.5000
0.5000 0.5000 0.5000
```

# 25
The following is a PBE-GGA calculation of crystalline CaLa2InNi at its relaxed geometry, from the Alexandria database.

Properties
* excess energy over the best structure of this formula in the dataset: 28.5 meV per atom
* energy of formation: -0.214 eV per atom

Cell and atoms, written as POSCAR:
```
CaLa2InNi
1.0
5.4882 0.0000 0.0000
0.0000 5.4882 0.0000
0.0000 0.0000 5.1341
Ca La In Ni
1 2 1 1
Direct
0.0000 0.0000 0.0000
0.0000 0.5000 0.5000
0.5000 0.0000 0.5000
0.5000 0.5000 0.0000
0.5000 0.5000 0.5000
```